Density functional theory data (PBE) for an optimized crystal structure of PuNpPa2N4. Values from VASP.

Calculated values
- E_form (uncorrected) (eV per atom) = -1.421
- space group = No. 10

```
&SYSTEM
  ibrav = 0, nat = 8, ntyp = 4
/
ATOMIC_SPECIES
Pu 244.00 Pu.upf
Np 237.00 Np.upf
Pa 231.04 Pa.upf
N 14.01 N.upf
CELL_PARAMETERS angstrom
6.018 0.000 0.000
0.000 3.488 0.000
-2.024 0.000 5.715
ATOMIC_POSITIONS crystal
Pu 0.000 0.000 0.000
Np 0.000 0.500 0.500
Pa 0.500 0.000 0.500
Pa 0.500 0.500 0.000
N 0.254 0.000 0.749
N 0.256 0.500 0.254
N 0.744 0.500 0.746
N 0.746 0.000 0.251
```


Density functional theory data (PBE) for an optimized crystal structure of CeNd2Ga3. Values from VASP.

Calculated values
- formation energy (eV/f.u.) = -2.7
- E above lowest polymorph (eV/atom) = 0.064
- space group = No. 164

```
&SYSTEM
  ibrav = 0, nat = 12, ntyp = 3
/
ATOMIC_SPECIES
Ce 140.12 Ce.upf
Nd 144.24 Nd.upf
Ga 69.72 Ga.upf
CELL_PARAMETERS angstrom
6.308 0.000 0.000
-3.154 5.463 0.000
0.000 0.000 8.744
ATOMIC_POSITIONS crystal
Ce 0.333 0.667 0.426
Ce 0.667 0.333 0.574
Nd 0.000 0.000 0.000
Nd 0.000 0.000 0.500
Nd 0.333 0.667 0.072
Nd 0.667 0.333 0.928
Ga 0.194 0.387 0.749
Ga 0.194 0.806 0.749
Ga 0.387 0.194 0.251
Ga 0.613 0.806 0.749
Ga 0.806 0.194 0.251
Ga 0.806 0.613 0.251
```


Density functional theory data (PBE) for an optimized crystal structure of LiAcTb2. Values from VASP.

Calculated values
- formation energy (eV/f.u.) = 0.8
- E above lowest polymorph (eV/atom) = 0.089
- space group = No. 123

```
&SYSTEM
  ibrav = 0, nat = 4, ntyp = 3
/
ATOMIC_SPECIES
Li 6.94 Li.upf
Ac 227.00 Ac.upf
Tb 158.93 Tb.upf
CELL_PARAMETERS angstrom
4.905 0.000 0.000
0.000 4.905 0.000
0.000 0.000 5.454
ATOMIC_POSITIONS crystal
Li 0.000 0.000 0.000
Ac 0.500 0.500 0.000
Tb 0.000 0.500 0.500
Tb 0.500 0.000 0.500
```


Density functional theory data (PBE) for an optimized crystal structure of CaIn3Ga. Values from VASP.

Calculated values
- formation energy (eV/f.u.) = 0.3
- E above lowest polymorph (eV/atom) = 0.275
- space group = No. 221

```
&SYSTEM
  ibrav = 0, nat = 5, ntyp = 3
/
ATOMIC_SPECIES
Ca 40.08 Ca.upf
In 114.82 In.upf
Ga 69.72 Ga.upf
CELL_PARAMETERS angstrom
5.365 0.000 0.000
0.000 5.365 0.000
0.000 0.000 5.365
ATOMIC_POSITIONS crystal
Ca 0.000 0.000 0.000
In 0.000 0.500 0.500
In 0.500 0.000 0.500
In 0.500 0.500 0.000
Ga 0.500 0.500 0.500
```


Density functional theory data (PBE) for an optimized crystal structure of AgW2Au. Values from VASP.

Calculated values
- formation energy (eV/f.u.) = 1.7
- E above lowest polymorph (eV/atom) = 0.124
- space group = No. 6

```
&SYSTEM
  ibrav = 0, nat = 4, ntyp = 3
/
ATOMIC_SPECIES
Ag 107.87 Ag.upf
W 183.84 W.upf
Au 196.97 Au.upf
CELL_PARAMETERS angstrom
2.771 0.000 0.000
0.000 4.137 0.000
-0.331 0.000 5.897
ATOMIC_POSITIONS crystal
Ag 0.000 0.000 0.000
W 0.079 0.000 0.511
W 0.458 0.500 0.736
Au 0.521 0.500 0.244
```


Density functional theory data (PBE) for an optimized crystal structure of Ca3Ac2NpN6. Values from VASP.

Calculated values
- E_form (uncorrected) (eV per atom) = -1.097
- space group = No. 12

```
&SYSTEM
  ibrav = 0, nat = 12, ntyp = 4
/
ATOMIC_SPECIES
Ca 40.08 Ca.upf
Ac 227.00 Ac.upf
Np 237.00 Np.upf
N 14.01 N.upf
CELL_PARAMETERS angstrom
3.188 -5.629 0.000
3.188 5.629 0.000
-2.085 0.000 5.785
ATOMIC_POSITIONS crystal
Ca 0.000 0.000 0.000
Ca 0.352 0.648 0.000
Ca 0.648 0.352 0.000
Ac 0.168 0.832 0.500
Ac 0.832 0.168 0.500
Np 0.500 0.500 0.500
N 0.148 0.426 0.276
N 0.280 0.280 0.719
N 0.426 0.148 0.276
N 0.574 0.852 0.724
N 0.720 0.720 0.281
N 0.852 0.574 0.724
```


Density functional theory data (PBE) for an optimized crystal structure of Dy3Co2Hg. Values from VASP.

Calculated values
- formation energy (eV/f.u.) = -1.4
- space group = No. 26

```
&SYSTEM
  ibrav = 0, nat = 12, ntyp = 3
/
ATOMIC_SPECIES
Dy 162.50 Dy.upf
Co 58.93 Co.upf
Hg 200.59 Hg.upf
CELL_PARAMETERS angstrom
3.899 0.000 0.000
0.000 9.187 0.000
0.000 0.000 7.593
ATOMIC_POSITIONS crystal
Dy 0.000 0.074 0.000
Dy 0.000 0.926 0.500
Dy 0.500 0.231 0.376
Dy 0.500 0.366 0.821
Dy 0.500 0.634 0.321
Dy 0.500 0.769 0.876
Co 0.000 0.203 0.649
Co 0.000 0.797 0.149
Co 0.500 0.073 0.714
Co 0.500 0.927 0.214
Hg 0.000 0.432 0.128
Hg 0.000 0.568 0.628
```


Density functional theory data (PBE) for an optimized crystal structure of Li2ErZrO4. Values from VASP.

Calculated values
- E_form (uncorrected) (eV per atom) = -2.715
- space group = No. 119

```
&SYSTEM
  ibrav = 0, nat = 8, ntyp = 4
/
ATOMIC_SPECIES
Li 6.94 Li.upf
Er 167.26 Er.upf
Zr 91.22 Zr.upf
O 16.00 O.upf
CELL_PARAMETERS angstrom
-2.210 2.210 4.671
2.210 -2.210 4.671
2.210 2.210 -4.671
ATOMIC_POSITIONS crystal
Li 0.000 0.000 0.000
Li 0.750 0.250 0.500
Er 0.500 0.500 0.000
Zr 0.250 0.750 0.500
O 0.011 0.511 0.500
O 0.251 0.251 0.000
O 0.489 0.989 0.500
O 0.749 0.749 0.000
```


Density functional theory data (PBE) for an optimized crystal structure of HfPO5. Values from VASP.

Calculated values
- E_form (uncorrected) (eV per atom) = -2.500
- space group = No. 15

```
&SYSTEM
  ibrav = 0, nat = 14, ntyp = 3
/
ATOMIC_SPECIES
Hf 178.49 Hf.upf
P 30.97 P.upf
O 16.00 O.upf
CELL_PARAMETERS angstrom
3.789 -3.870 0.000
3.789 3.870 0.000
-3.757 0.000 6.907
ATOMIC_POSITIONS crystal
Hf 0.000 0.500 0.000
Hf 0.500 0.000 0.500
P 0.115 0.885 0.750
P 0.885 0.115 0.250
O 0.133 0.669 0.841
O 0.161 0.168 0.409
O 0.168 0.161 0.909
O 0.329 0.671 0.250
O 0.331 0.867 0.659
O 0.669 0.133 0.341
O 0.671 0.329 0.750
O 0.832 0.839 0.091
O 0.839 0.832 0.591
O 0.867 0.331 0.159
```


Density functional theory data (PBE) for an optimized crystal structure of AlHg2W. Values from VASP.

Calculated values
- formation energy (eV/f.u.) = 1.7
- space group = No. 35

```
&SYSTEM
  ibrav = 0, nat = 4, ntyp = 3
/
ATOMIC_SPECIES
Al 26.98 Al.upf
Hg 200.59 Hg.upf
W 183.84 W.upf
CELL_PARAMETERS angstrom
1.845 -2.229 0.000
1.845 2.229 0.000
0.000 0.000 9.346
ATOMIC_POSITIONS crystal
Al 0.000 0.000 0.000
Hg 0.000 0.000 0.548
Hg 0.500 0.500 0.251
W 0.500 0.500 0.798
```


Density functional theory data (PBE) for an optimized crystal structure of Nd3Au5. Values from VASP.

Calculated values
- formation energy (eV/f.u.) = -6.0
- space group = No. 43

```
&SYSTEM
  ibrav = 0, nat = 16, ntyp = 2
/
ATOMIC_SPECIES
Nd 144.24 Nd.upf
Au 196.97 Au.upf
CELL_PARAMETERS angstrom
0.000 8.905 7.263
3.035 0.000 7.263
3.035 8.905 0.000
ATOMIC_POSITIONS crystal
Nd 0.000 0.000 0.000
Nd 0.250 0.250 0.250
Nd 0.271 0.710 0.393
Nd 0.623 0.857 0.540
Nd 0.710 0.271 0.627
Nd 0.857 0.623 0.979
Au 0.035 0.290 0.137
Au 0.113 0.712 0.215
Au 0.255 0.453 0.861
Au 0.290 0.035 0.538
Au 0.389 0.818 0.995
Au 0.453 0.255 0.432
Au 0.551 0.551 0.449
Au 0.712 0.113 0.960
Au 0.801 0.801 0.699
Au 0.818 0.389 0.797
```


Density functional theory data (PBE) for an optimized crystal structure of V3OsRu2. Values from VASP.

Calculated values
- formation energy (eV/f.u.) = -1.4
- E above lowest polymorph (eV/atom) = 0.000
- space group = No. 10

```
&SYSTEM
  ibrav = 0, nat = 12, ntyp = 3
/
ATOMIC_SPECIES
V 50.94 V.upf
Os 190.23 Os.upf
Ru 101.07 Ru.upf
CELL_PARAMETERS angstrom
4.274 0.000 0.000
0.000 6.011 0.000
-2.130 0.000 6.414
ATOMIC_POSITIONS crystal
V 0.000 0.250 0.000
V 0.000 0.750 0.000
V 0.332 0.249 0.663
V 0.332 0.751 0.663
V 0.668 0.249 0.337
V 0.668 0.751 0.337
Os 0.164 0.000 0.329
Os 0.836 0.000 0.671
Ru 0.165 0.500 0.330
Ru 0.500 0.000 0.000
Ru 0.500 0.500 0.000
Ru 0.835 0.500 0.670
```


| no. | total magnetic moment (μB per cell) | raw total energy (eV/cell) |
| --- | --- | --- |
| 1 | 8.3 | -90.938 |
| 2 | 1.7 | -54.523 |
| 3 | 0.0 | -14.530 |
| 4 | 0.0 | -12.966 |
| 5 | 0.0 | -30.378 |
| 6 | 1.0 | -90.279 |
| 7 | 1.5 | -59.527 |
| 8 | 0.0 | -58.491 |
| 9 | 2.1 | -115.303 |
| 10 | 0.0 | -15.610 |
| 11 | 0.0 | -73.283 |
| 12 | 3.4 | -117.120 |